Entry 1:
The following is a DFT calculation (PBE) of a relaxed structure of Sm2TmAg3.

Computed properties:
As for the energy: -0.1486 hartree per atom. The value obtained for the total magnetic moment is 0.001 μB/cell. Its symmetry is P4/mmm. The formation energy comes out at -301 meV per atom.

Geometry as CIF:
```
data_Sm2TmAg3
_chemical_formula_sum 'Sm2 Tm1 Ag3'
_space_group_name_H-M_alt 'P 1'
_space_group_IT_number 1
_cell_length_a 3.643
_cell_length_b 3.643
_cell_length_c 11.160
_cell_angle_alpha 90.00
_cell_angle_beta 90.00
_cell_angle_gamma 90.00
loop_
_space_group_symop_operation_xyz
'x,y,z'
loop_
_atom_site_label
_atom_site_type_symbol
_atom_site_fract_x
_atom_site_fract_y
_atom_site_fract_z
Ag1 Ag 0.000 0.000 0.000
Ag2 Ag 0.000 0.000 0.654
Tm1 Tm 0.500 0.500 0.500
Sm1 Sm 0.500 0.500 0.829
Ag3 Ag 0.000 0.000 0.346
Sm2 Sm 0.500 0.500 0.171
```


Entry 2:
The following is a DFT calculation (PBE) of a relaxed structure of SmTmAg.

Computed properties:
As for the energy: -0.1542 hartree per atom. Its energy above the most stable polymorph in this dataset is 0.0000 eV per atom. The value obtained for the total magnetic moment is 0.000 μB/cell. Its symmetry is Pnma. The formation energy comes out at -182 meV per atom.

Geometry as CIF:
```
data_SmTmAg
_chemical_formula_sum 'Sm4 Tm4 Ag4'
_space_group_name_H-M_alt 'P 1'
_space_group_IT_number 1
_cell_length_a 5.166
_cell_length_b 9.236
_cell_length_c 6.827
_cell_angle_alpha 90.00
_cell_angle_beta 90.00
_cell_angle_gamma 90.00
loop_
_space_group_symop_operation_xyz
'x,y,z'
loop_
_atom_site_label
_atom_site_type_symbol
_atom_site_fract_x
_atom_site_fract_y
_atom_site_fract_z
Sm1 Sm 0.750 0.581 0.662
Ag1 Ag 0.750 0.595 0.220
Tm1 Tm 0.750 0.192 0.512
Sm2 Sm 0.750 0.919 0.162
Ag2 Ag 0.250 0.095 0.280
Tm2 Tm 0.250 0.808 0.488
Tm3 Tm 0.750 0.308 0.012
Ag3 Ag 0.250 0.405 0.780
Tm4 Tm 0.250 0.692 0.988
Sm3 Sm 0.250 0.081 0.838
Sm4 Sm 0.250 0.419 0.338
Ag4 Ag 0.750 0.905 0.720
```


Entry 3:
The following is a DFT calculation (PBE) of a relaxed structure of Sm4Tm5Ag.

Computed properties:
As for the energy: -0.1636 hartree per atom. The value obtained for the total magnetic moment is 0.001 μB/cell. Its symmetry is P4/mmm. The formation energy comes out at -44 meV per atom.

Geometry as CIF:
```
data_Sm4Tm5Ag
_chemical_formula_sum 'Sm4 Tm5 Ag1'
_space_group_name_H-M_alt 'P 1'
_space_group_IT_number 1
_cell_length_a 3.556
_cell_length_b 3.556
_cell_length_c 23.866
_cell_angle_alpha 90.00
_cell_angle_beta 90.00
_cell_angle_gamma 90.00
loop_
_space_group_symop_operation_xyz
'x,y,z'
loop_
_atom_site_label
_atom_site_type_symbol
_atom_site_fract_x
_atom_site_fract_y
_atom_site_fract_z
Tm1 Tm 0.500 0.500 0.500
Tm2 Tm 0.500 0.500 0.923
Sm1 Sm 0.000 0.000 0.184
Tm3 Tm 0.500 0.500 0.077
Sm2 Sm 0.000 0.000 0.395
Ag1 Ag 0.000 0.000 0.000
Tm4 Tm 0.500 0.500 0.289
Sm3 Sm 0.000 0.000 0.605
Tm5 Tm 0.500 0.500 0.711
Sm4 Sm 0.000 0.000 0.816
```


Entry 4:
The following is a DFT calculation (PBE) of a relaxed structure of SmTmAg.

Computed properties:
As for the energy: -0.1487 hartree per atom. Its energy above the most stable polymorph in this dataset is 0.1501 eV per atom. The value obtained for the total magnetic moment is 0.000 μB/cell. Its symmetry is P3m1. The formation energy comes out at -32 meV per atom.

Geometry as CIF:
```
data_SmTmAg
_chemical_formula_sum 'Sm1 Tm1 Ag1'
_space_group_name_H-M_alt 'P 1'
_space_group_IT_number 1
_cell_length_a 3.710
_cell_length_b 5.048
_cell_length_c 5.048
_cell_angle_alpha 120.00
_cell_angle_beta 90.00
_cell_angle_gamma 90.00
loop_
_space_group_symop_operation_xyz
'x,y,z'
loop_
_atom_site_label
_atom_site_type_symbol
_atom_site_fract_x
_atom_site_fract_y
_atom_site_fract_z
Sm1 Sm 0.625 0.667 0.333
Ag1 Ag 0.286 0.333 0.667
Tm1 Tm 0.089 0.000 0.000
```